# Ga2TcPt2, relaxed, DFT PBE
# energy of formation from the pure elements	-0.261	eV/atom
# DFT total energy	-5.961	eV/atom
data_Ga2TcPt2
_space_group_name_H-M_alt 'P 4/m b m'
_space_group_IT_number 127
_space_group_name_Hall '-P 4 2ab'
_cell_length_a 7.413
_cell_length_b 7.413
_cell_length_c 2.781
_cell_angle_alpha 90.00
_cell_angle_beta 90.00
_cell_angle_gamma 90.00
loop_
_atom_site_label
_atom_site_type_symbol
_atom_site_fract_x
_atom_site_fract_y
_atom_site_fract_z
Ga1 Ga 0.147 0.353 0.000
Tc1 Tc 0.000 0.000 0.000
Pt1 Pt 0.153 0.653 0.500